! Cd2Ag SCAN PBEsol geometry; values from VASP
&SYSTEM
  ibrav = 0, nat = 6, ntyp = 2
/
ATOMIC_SPECIES
Ag 107.87 Ag.upf
Cd 112.41 Cd.upf
ATOMIC_POSITIONS crystal
Ag 0.667 0.333 0.750
Ag 0.333 0.667 0.250
Cd 0.000 0.000 0.500
Cd 0.000 0.000 0.000
Cd 0.333 0.667 0.750
Cd 0.667 0.333 0.250
CELL_PARAMETERS angstrom
-0.069 -1.965 4.346
1.243 -2.624 -3.785
5.494 1.499 0.765
! * formation energy from the elements: -0.010 eV/atom
! * energy above the most stable polymorph in this dataset: 45 meV per atom
! * SG: P6_3/mmc


! Cd2Ag3 SCAN PBEsol geometry; values from VASP
&SYSTEM
  ibrav = 0, nat = 5, ntyp = 2
/
ATOMIC_SPECIES
Ag 107.87 Ag.upf
Cd 112.41 Cd.upf
ATOMIC_POSITIONS crystal
Ag 0.702 0.702 0.404
Ag 0.298 0.298 0.596
Ag 0.500 0.500 0.000
Cd 0.102 0.102 0.204
Cd 0.898 0.898 0.796
CELL_PARAMETERS angstrom
-2.742 -0.862 0.752
1.129 -2.350 1.424
1.420 7.016 7.354
! * formation energy from the elements: -0.046 eV/atom
! * energy above the most stable polymorph in this dataset: 10 meV per atom
! * SG: I4/mmm


! CdAg SCAN PBEsol geometry; values from VASP
&SYSTEM
  ibrav = 0, nat = 2, ntyp = 2
/
ATOMIC_SPECIES
Cd 112.41 Cd.upf
Ag 107.87 Ag.upf
ATOMIC_POSITIONS crystal
Cd 0.750 0.750 0.750
Ag 0.000 0.000 0.000
CELL_PARAMETERS angstrom
4.364 0.000 0.000
2.182 3.780 0.000
2.182 1.260 3.563
! * formation energy from the elements: 0.534 eV/atom
! * SG: F-43m


! CdAg2 SCAN PBEsol geometry; values from VASP
&SYSTEM
  ibrav = 0, nat = 3, ntyp = 2
/
ATOMIC_SPECIES
Cd 112.41 Cd.upf
Ag 107.87 Ag.upf
ATOMIC_POSITIONS crystal
Cd 0.000 0.000 0.000
Ag 0.332 0.332 0.665
Ag 0.668 0.668 0.335
CELL_PARAMETERS angstrom
-0.127 -1.065 -2.763
2.130 -3.237 1.150
-4.716 0.054 1.785
! * formation energy from the elements: -0.053 eV/atom
! * energy above the most stable polymorph in this dataset: 0 meV per atom
! * SG: Immm